Entry 1:
## SmY3Tm12 (PBE)

Data for a relaxed SmY3Tm12 crystal.

CIF file:
```
data_SmY3Tm12
_cell_length_a 4.9658
_cell_length_b 4.9658
_cell_length_c 19.8781
_cell_angle_alpha 90.00
_cell_angle_beta 90.00
_cell_angle_gamma 90.00
_symmetry_space_group_name_H-M 'P 4/m m m'
_symmetry_Int_Tables_number 123
_symmetry_space_group_name_Hall '-P 4 2'
loop_
_atom_site_label
_atom_site_type_symbol
_atom_site_fract_x
_atom_site_fract_y
_atom_site_fract_z
Sm1 Sm 0.0000 0.0000 0.0000
Y1 Y 0.0000 0.0000 0.2503
Y2 Y 0.0000 0.0000 0.5000
Tm1 Tm 0.0000 0.5000 0.1254
Tm2 Tm 0.0000 0.5000 0.3752
Tm3 Tm 0.5000 0.5000 0.0000
Tm4 Tm 0.5000 0.5000 0.2506
Tm5 Tm 0.5000 0.5000 0.5000
```

Computed properties:
Energy relative to the elements, eV/atom: 0.028
Calculated total energy, eV per cell: -77.3

=====

Entry 2:
## Sm7YTm2 (PBE)

Data for a relaxed Sm7YTm2 crystal.

CIF file:
```
data_Sm7YTm2
_cell_length_a 6.2179
_cell_length_b 6.2261
_cell_length_c 9.5067
_cell_angle_alpha 102.57
_cell_angle_beta 109.01
_cell_angle_gamma 99.52
_symmetry_space_group_name_H-M 'P -1'
_symmetry_Int_Tables_number 2
loop_
_symmetry_equiv_pos_as_xyz
'x,y,z'
'-x,-y,-z'
loop_
_atom_site_label
_atom_site_type_symbol
_atom_site_fract_x
_atom_site_fract_y
_atom_site_fract_z
Sm1 Sm 0.0000 0.0000 0.0000
Sm2 Sm 0.1992 0.0000 0.3989
Sm3 Sm 0.2014 0.5024 0.9007
Sm4 Sm 0.4019 0.5010 0.2999
Y1 Y 0.0000 0.5000 0.5000
Tm1 Tm 0.4005 0.0003 0.8006
```

Computed properties:
Energy relative to the elements, eV/atom: 0.018
Calculated total energy, eV per cell: -48.3

=====

Entry 3:
## Sm8Y4Tm (PBE)

Data for a relaxed Sm8Y4Tm crystal.

CIF file:
```
data_Sm8Y4Tm
_cell_length_a 11.1127
_cell_length_b 11.1127
_cell_length_c 13.5567
_cell_angle_alpha 90.00
_cell_angle_beta 90.00
_cell_angle_gamma 120.00
_symmetry_space_group_name_H-M 'R -3 m'
_symmetry_Int_Tables_number 166
_symmetry_space_group_name_Hall '-R 3 2"'
loop_
_atom_site_label
_atom_site_type_symbol
_atom_site_fract_x
_atom_site_fract_y
_atom_site_fract_z
Sm1 Sm 0.0000 0.0000 0.2414
Sm2 Sm 0.0108 0.5054 0.7466
Y1 Y 0.0000 0.0000 0.0000
Y2 Y 0.0000 0.5000 0.0000
Tm1 Tm 0.0000 0.0000 0.5000
```

Computed properties:
Energy relative to the elements, eV/atom: 0.497
Calculated total energy, eV per cell: -184.9

=====

Entry 4:
## SmY6Tm4 (PBE)

Data for a relaxed SmY6Tm4 crystal.

CIF file:
```
data_SmY6Tm4
_cell_length_a 5.6351
_cell_length_b 9.7067
_cell_length_c 25.6890
_cell_angle_alpha 90.00
_cell_angle_beta 90.00
_cell_angle_gamma 90.00
_symmetry_space_group_name_H-M 'C m c m'
_symmetry_Int_Tables_number 63
_symmetry_space_group_name_Hall '-C 2c 2'
loop_
_atom_site_label
_atom_site_type_symbol
_atom_site_fract_x
_atom_site_fract_y
_atom_site_fract_z
Sm1 Sm 0.0000 0.1700 0.2500
Y1 Y 0.0000 0.1623 0.6805
Y2 Y 0.0000 0.1711 0.1015
Y3 Y 0.0000 0.4965 0.7500
Y4 Y 0.0000 0.5000 0.0000
Tm1 Tm 0.0000 0.1650 0.5417
Tm2 Tm 0.0000 0.4945 0.6211
```

Computed properties:
Energy relative to the elements, eV/atom: 0.119
Calculated total energy, eV per cell: -240.3

=====

Entry 5:
## Sm8Y2Tm (PBE)

Data for a relaxed Sm8Y2Tm crystal.

CIF file:
```
data_Sm8Y2Tm
_cell_length_a 16.5906
_cell_length_b 6.7777
_cell_length_c 6.7666
_cell_angle_alpha 90.00
_cell_angle_beta 101.72
_cell_angle_gamma 90.00
_symmetry_space_group_name_H-M 'C 1 2/m 1'
_symmetry_Int_Tables_number 12
loop_
_symmetry_equiv_pos_as_xyz
'x,y,z'
'-x,-y,-z'
'-x,y,-z'
'x,-y,z'
'x+1/2,y+1/2,z'
'-x+1/2,-y+1/2,-z'
'-x+1/2,y+1/2,-z'
'x+1/2,-y+1/2,z'
loop_
_atom_site_label
_atom_site_type_symbol
_atom_site_fract_x
_atom_site_fract_y
_atom_site_fract_z
Sm1 Sm 0.0860 0.2354 0.4047
Sm2 Sm 0.0926 0.0000 0.9188
Sm3 Sm 0.1953 0.5000 0.7976
Y1 Y 0.2419 0.5000 0.3099
Tm1 Tm 0.0000 0.5000 0.0000
```

Computed properties:
Energy relative to the elements, eV/atom: 0.168
Calculated total energy, eV per cell: -106.6

=====

Entry 6:
## Sm3Y6Tm (PBE)

Data for a relaxed Sm3Y6Tm crystal.

CIF file:
```
data_Sm3Y6Tm
_cell_length_a 9.9014
_cell_length_b 9.9014
_cell_length_c 11.6870
_cell_angle_alpha 90.00
_cell_angle_beta 90.00
_cell_angle_gamma 120.00
_symmetry_space_group_name_H-M 'R 3'
_symmetry_Int_Tables_number 146
_symmetry_space_group_name_Hall 'R 3'
loop_
_atom_site_label
_atom_site_type_symbol
_atom_site_fract_x
_atom_site_fract_y
_atom_site_fract_z
Sm1 Sm 0.0000 0.0000 0.0000
Sm2 Sm 0.0000 0.0000 0.2491
Sm3 Sm 0.0000 0.0000 0.4990
Y1 Y 0.0020 0.6632 0.1671
Y2 Y 0.0053 0.3356 0.6664
Tm1 Tm 0.0000 0.0000 0.7493
```

Computed properties:
Energy relative to the elements, eV/atom: 0.252
Calculated total energy, eV per cell: -164.7